(1)
# Cr3SnSe

A relaxed structure of Cr3SnSe (PBE, Alexandria).

a b c (Å): 5.092 5.092 5.092
angles (deg): 90.00 90.00 90.00
Space group Pm-3m (No. 221)
Unique sites:
Cr1 0.000 0.000 0.500 x3
Sn1 0.000 0.000 0.000 x1
Se1 0.500 0.500 0.500 x1

E_form (uncorrected), eV/atom: 1.140
Energy relative to the lowest polymorph listed for this composition, meV per atom: 582
DOS(E_F), states/eV per atom: 0.155


(2)
# Na2YBePt

A relaxed structure of Na2YBePt (PBE, Alexandria).

a b c (Å): 5.283 5.283 4.314
angles (deg): 90.00 90.00 90.00
Space group P4/mmm (No. 123)
Unique sites:
Na1 0.000 0.500 0.000 x2
Y1 0.000 0.000 0.500 x1
Be1 0.500 0.500 0.500 x1
Pt1 0.500 0.500 0.000 x1

Energy relative to the elements, eV/atom: 0.325
DOS(E_F), states/eV per atom: 0.697


(3)
# Li12Ga6Rh

A relaxed structure of Li12Ga6Rh (PBE, Alexandria).

a b c (Å): 9.4641 9.4641 12.0080
angles (deg): 90.00 90.00 120.00
Space group R-3 (No. 148, hexagonal axes)
Unique sites:
Li1 0.0380 0.1872 0.3145 x18
Li2 0.0677 0.8467 0.9139 x18
Ga1 0.0331 0.4431 0.2042 x18
Rh1 0.0000 0.0000 0.5000 x3

Energy relative to the elements, eV/atom: -0.304
DOS(E_F), states/eV per atom: 0.260